Density functional theory data (PBE-GGA) for a relaxed Dy5Ho4Th4 crystal.

Computed properties:
Total moment ... 0.0 μB/f.u.
Symmetry ... No. 87
Energy of formation from the pure elements ... 31 meV per atom
Mass density ... 9.7 g/cm3
Crystal system ... tetragonal
V ... 31.711 Å³/atom

CIF file:
```
data_Dy5Ho4Th4
_chemical_formula_sum 'Dy5 Ho4 Th4'
_cell_length_a 5.0311
_cell_length_b 9.3950
_cell_length_c 9.3950
_cell_angle_alpha 85.89
_cell_angle_beta 74.47
_cell_angle_gamma 74.47
_symmetry_space_group_name_H-M 'P 1'
_symmetry_Int_Tables_number 1
_symmetry_space_group_name_Hall 'P 1'
loop_
_atom_site_label
_atom_site_type_symbol
_atom_site_fract_x
_atom_site_fract_y
_atom_site_fract_z
Dy1 Dy 0.6944 0.8441 0.7670
Dy2 Dy 0.3056 0.1559 0.2330
Dy3 Dy 0.0000 0.0000 0.0000
Dy4 Dy 0.5386 0.7670 0.1559
Dy5 Dy 0.4614 0.2330 0.8441
Ho1 Ho 0.7671 0.3859 0.0798
Ho2 Ho 0.2329 0.6141 0.9202
Ho3 Ho 0.8470 0.9202 0.3859
Ho4 Ho 0.1530 0.0798 0.6141
Th1 Th 0.9248 0.4610 0.6894
Th2 Th 0.6142 0.3106 0.4610
Th3 Th 0.0752 0.5390 0.3106
Th4 Th 0.3858 0.6894 0.5390
```

Density functional theory data (PBE-GGA) for a relaxed DyHo6Th12 crystal.

Computed properties:
Total moment ... 0.0 μB/f.u.
Symmetry ... No. 166
Energy of formation from the pure elements ... 245 meV per atom
Mass density ... 10.4 g/cm3
Crystal system ... trigonal
V ... 33.164 Å³/atom

CIF file:
```
data_DyHo6Th12
_chemical_formula_sum 'Dy1 Ho6 Th12'
_cell_length_a 8.7151
_cell_length_b 8.7151
_cell_length_c 8.7151
_cell_angle_alpha 99.66
_cell_angle_beta 99.66
_cell_angle_gamma 99.66
_symmetry_space_group_name_H-M 'P 1'
_symmetry_Int_Tables_number 1
_symmetry_space_group_name_Hall 'P 1'
loop_
_atom_site_label
_atom_site_type_symbol
_atom_site_fract_x
_atom_site_fract_y
_atom_site_fract_z
Dy1 Dy 0.0000 0.0000 0.0000
Ho1 Ho 0.9011 0.3383 0.9011
Ho2 Ho 0.9011 0.9011 0.3383
Ho3 Ho 0.3383 0.9011 0.9011
Ho4 Ho 0.0989 0.0989 0.6617
Ho5 Ho 0.0989 0.6617 0.0989
Ho6 Ho 0.6617 0.0989 0.0989
Th1 Th 0.7533 0.2467 0.5000
Th2 Th 0.3494 0.0829 0.3494
Th3 Th 0.3494 0.3494 0.0829
Th4 Th 0.9171 0.6506 0.6506
Th5 Th 0.6506 0.6506 0.9171
Th6 Th 0.6506 0.9171 0.6506
Th7 Th 0.5000 0.7533 0.2467
Th8 Th 0.2467 0.5000 0.7533
Th9 Th 0.2467 0.7533 0.5000
Th10 Th 0.5000 0.2467 0.7533
Th11 Th 0.7533 0.5000 0.2467
Th12 Th 0.0829 0.3494 0.3494
```

Density functional theory data (PBE-GGA) for a relaxed Dy2Ho5Th5 crystal.

Computed properties:
Total moment ... 0.0 μB/f.u.
Symmetry ... No. 12
Energy of formation from the pure elements ... 45 meV per atom
Mass density ... 10.1 g/cm3
Energy above the lowest structure with this stoichiometry ... 0.000 eV per atom
Crystal system ... monoclinic
V ... 31.735 Å³/atom

CIF file:
```
data_Dy2Ho5Th5
_chemical_formula_sum 'Dy2 Ho5 Th5'
_cell_length_a 5.0244
_cell_length_b 7.9229
_cell_length_c 10.6923
_cell_angle_alpha 72.75
_cell_angle_beta 76.41
_cell_angle_gamma 71.51
_symmetry_space_group_name_H-M 'P 1'
_symmetry_Int_Tables_number 1
_symmetry_space_group_name_Hall 'P 1'
loop_
_atom_site_label
_atom_site_type_symbol
_atom_site_fract_x
_atom_site_fract_y
_atom_site_fract_z
Dy1 Dy 0.9167 0.4161 0.7505
Dy2 Dy 0.0833 0.5839 0.2495
Ho1 Ho 0.5000 0.5000 0.5000
Ho2 Ho 0.3320 0.3318 0.0042
Ho3 Ho 0.4156 0.9205 0.2482
Ho4 Ho 0.5844 0.0795 0.7518
Ho5 Ho 0.6680 0.6682 0.9958
Th1 Th 0.8309 0.8355 0.5026
Th2 Th 0.2496 0.7537 0.7471
Th3 Th 0.7504 0.2463 0.2529
Th4 Th 0.1691 0.1645 0.4974
Th5 Th 0.0000 0.0000 0.0000
```

Density functional theory data (PBE-GGA) for a relaxed Dy7Ho3Th crystal.

Computed properties:
Total moment ... 0.0 μB/f.u.
Symmetry ... No. 156
Energy of formation from the pure elements ... 190 meV per atom
Mass density ... 8.4 g/cm3
Energy above the lowest structure with this stoichiometry ... 0.033 eV per atom
Crystal system ... trigonal
V ... 33.451 Å³/atom

CIF file:
```
data_Dy7Ho3Th
_chemical_formula_sum 'Dy7 Ho3 Th1'
_cell_length_a 8.5998
_cell_length_b 7.0289
_cell_length_c 7.0289
_cell_angle_alpha 120.00
_cell_angle_beta 90.00
_cell_angle_gamma 90.00
_symmetry_space_group_name_H-M 'P 1'
_symmetry_Int_Tables_number 1
_symmetry_space_group_name_Hall 'P 1'
loop_
_atom_site_label
_atom_site_type_symbol
_atom_site_fract_x
_atom_site_fract_y
_atom_site_fract_z
Dy1 Dy 0.1197 0.1696 0.8304
Dy2 Dy 0.1197 0.1696 0.3392
Dy3 Dy 0.1150 0.6667 0.3333
Dy4 Dy 0.4492 0.8322 0.1678
Dy5 Dy 0.4492 0.3356 0.1678
Dy6 Dy 0.4492 0.8322 0.6644
Dy7 Dy 0.1197 0.6608 0.8304
Ho1 Ho 0.7814 0.4986 0.5014
Ho2 Ho 0.7814 0.4986 0.9971
Ho3 Ho 0.7814 0.0029 0.5014
Th1 Th 0.4493 0.3333 0.6667
```

Density functional theory data (PBE-GGA) for a relaxed DyHoTh14 crystal.

Computed properties:
Total moment ... 0.0 μB/f.u.
Symmetry ... No. 38
Energy of formation from the pure elements ... 32 meV per atom
Mass density ... 11.5 g/cm3
Crystal system ... orthorhombic
V ... 32.203 Å³/atom

CIF file:
```
data_DyHoTh14
_chemical_formula_sum 'Dy1 Ho1 Th14'
_cell_length_a 7.1701
_cell_length_b 7.1701
_cell_length_c 11.5750
_cell_angle_alpha 90.00
_cell_angle_beta 90.00
_cell_angle_gamma 120.02
_symmetry_space_group_name_H-M 'P 1'
_symmetry_Int_Tables_number 1
_symmetry_space_group_name_Hall 'P 1'
loop_
_atom_site_label
_atom_site_type_symbol
_atom_site_fract_x
_atom_site_fract_y
_atom_site_fract_z
Dy1 Dy 0.5401 0.4599 0.5000
Ho1 Ho 0.0402 0.9598 0.5000
Th1 Th 0.2078 0.7922 0.0000
Th2 Th 0.7078 0.2922 0.0000
Th3 Th 0.0437 0.4565 0.5000
Th4 Th 0.2081 0.2918 0.0000
Th5 Th 0.5435 0.9563 0.5000
Th6 Th 0.7082 0.7919 0.0000
Th7 Th 0.3749 0.1249 0.7499
Th8 Th 0.3749 0.1249 0.2501
Th9 Th 0.8751 0.6251 0.7499
Th10 Th 0.8751 0.6251 0.2501
Th11 Th 0.3751 0.6249 0.7508
Th12 Th 0.3751 0.6249 0.2492
Th13 Th 0.8752 0.1248 0.7506
Th14 Th 0.8752 0.1248 0.2494
```

Density functional theory data (PBE-GGA) for a relaxed Dy2Ho2Th3 crystal.

Computed properties:
Total moment ... 0.0 μB/f.u.
Symmetry ... No. 12
Energy of formation from the pure elements ... 134 meV per atom
Mass density ... 9.9 g/cm3
Crystal system ... monoclinic
V ... 32.237 Å³/atom

CIF file:
```
data_Dy2Ho2Th3
_chemical_formula_sum 'Dy2 Ho2 Th3'
_cell_length_a 3.4704
_cell_length_b 8.4187
_cell_length_c 8.8695
_cell_angle_alpha 116.80
_cell_angle_beta 101.28
_cell_angle_gamma 90.00
_symmetry_space_group_name_H-M 'P 1'
_symmetry_Int_Tables_number 1
_symmetry_space_group_name_Hall 'P 1'
loop_
_atom_site_label
_atom_site_type_symbol
_atom_site_fract_x
_atom_site_fract_y
_atom_site_fract_z
Dy1 Dy 0.8532 0.6680 0.7063
Dy2 Dy 0.1468 0.3320 0.2937
Ho1 Ho 0.5684 0.9039 0.1368
Ho2 Ho 0.4316 0.0961 0.8632
Th1 Th 0.0000 0.5000 0.0000
Th2 Th 0.2124 0.7940 0.4248
Th3 Th 0.7876 0.2060 0.5752
```